Crystalline NaGe2IrRu at its relaxed geometry. Source: Alexandria via LeMat-Bulk, functional PBE.

```
NaGe2IrRu
1.0
4.232 0.000 0.000
0.000 4.232 0.000
-2.116 -2.116 5.051
Ge Na Ru Ir
2 1 1 1
direct
0.372 0.372 0.744
0.628 0.628 0.256
0.000 0.000 0.000
0.250 0.750 0.500
0.750 0.250 0.500
```

Calculated values
Its density of states at the Fermi level is 0.7 states/eV per cell. As for the formation energy: -0.293 eV/atom. The volume is 18.09 Å³/atom.

=====

Crystalline Na2GeIr2S6 at its relaxed geometry. Source: Alexandria via LeMat-Bulk, functional PBE.

```
Na2GeIr2S6
1.0
-1.892 1.731 -5.703
-4.176 -1.245 4.484
2.163 6.141 2.279
S Na Ge Ir
6 2 1 2
direct
0.279 0.279 0.313
0.407 0.061 0.688
0.721 0.721 0.687
0.061 0.407 0.688
0.593 0.939 0.312
0.939 0.593 0.312
0.165 0.835 0.000
0.835 0.165 0.000
0.000 0.000 0.500
0.333 0.667 0.500
0.667 0.333 0.500
```

Calculated values
Its density of states at the Fermi level is 0.0 states/eV per cell. The energy relative to the elements, uncorrected is -0.663 eV per atom. The volume is 20.15 Å³/atom.

=====

Crystalline Na2GeIr2Se6 at its relaxed geometry. Source: Alexandria via LeMat-Bulk, functional PBE.

```
Na2GeIr2Se6
1.0
-2.255 5.265 3.223
-3.721 -2.985 -4.521
-0.647 -4.891 5.332
Ir Na Se Ge
2 2 6 1
direct
0.333 0.667 0.500
0.667 0.333 0.500
0.164 0.836 0.000
0.836 0.164 0.000
0.062 0.410 0.691
0.938 0.590 0.309
0.410 0.062 0.691
0.281 0.281 0.311
0.719 0.719 0.689
0.590 0.938 0.309
0.000 0.000 0.500
```

Calculated values
The energy relative to the elements, uncorrected is -0.570 eV per atom. The volume is 23.46 Å³/atom.

=====

Crystalline NaSnGeIr at its relaxed geometry. Source: Alexandria via LeMat-Bulk, functional PBE.

```
NaSnGeIr
1.0
-1.699 1.824 -3.395
-4.134 0.798 -0.115
-1.022 5.984 1.115
Na Ge Ir Sn
1 1 1 1
direct
0.819 0.819 0.543
0.251 0.251 0.246
0.623 0.623 0.131
0.033 0.033 0.902
```

Calculated values
Its density of states at the Fermi level is 1.9 states/eV per cell. As for the formation energy: -0.205 eV/atom. The volume is 21.79 Å³/atom.

=====

Crystalline NaTh2Ge3Ir4 at its relaxed geometry. Source: Alexandria via LeMat-Bulk, functional PBE.

```
NaTh2Ge3Ir4
1.0
-3.480 -0.637 -2.106
0.485 -4.066 0.428
-5.941 0.316 9.723
Na Th Ge Ir
1 2 3 4
direct
0.500 0.500 0.500
0.000 0.500 0.755
0.500 0.000 0.245
0.500 0.000 0.879
0.000 0.000 0.500
0.000 0.500 0.121
0.000 0.500 0.335
0.500 0.000 0.665
0.000 0.000 0.000
0.500 0.500 0.000
```

Calculated values
Its density of states at the Fermi level is 6.8 states/eV per cell. As for the formation energy: -0.624 eV/atom. The volume is 19.32 Å³/atom.

=====

Crystalline Na2ZnGe4Ir3 at its relaxed geometry. Source: Alexandria via LeMat-Bulk, functional PBE.

```
Na2ZnGe4Ir3
1.0
4.143 0.000 0.000
0.000 4.143 0.000
0.000 0.000 10.663
Na Ge Zn Ir
2 4 1 3
direct
0.500 0.000 0.251
0.000 0.500 0.749
0.500 0.000 0.638
0.500 0.500 0.000
0.000 0.500 0.362
0.000 0.000 0.000
0.500 0.500 0.500
0.500 0.000 0.870
0.000 0.500 0.130
0.000 0.000 0.500
```

Calculated values
Its density of states at the Fermi level is 4.7 states/eV per cell. As for the formation energy: -0.198 eV/atom. The volume is 18.31 Å³/atom.

=====

Crystalline NaZn2GeIr at its relaxed geometry. Source: Alexandria via LeMat-Bulk, functional PBE.

```
NaZn2GeIr
1.0
-1.171 -2.139 -4.283
1.957 -4.238 1.582
-4.137 -1.254 1.757
Ir Na Zn Ge
1 1 2 1
direct
0.000 0.000 0.000
0.500 0.500 0.500
0.000 0.500 0.000
0.500 0.000 0.000
0.000 0.000 0.500
```

Calculated values
Its density of states at the Fermi level is 1.4 states/eV per cell. As for the formation energy: -0.136 eV/atom. The volume is 22.67 Å³/atom.

=====

Crystalline NbGe2Ir at its relaxed geometry. Source: Alexandria via LeMat-Bulk, functional PBE.

```
NbGe2Ir
1.0
-1.841 1.952 -1.249
-1.753 -0.838 -2.233
-7.779 -1.969 4.883
Ir Ge Nb
1 2 1
direct
0.500 0.500 0.500
0.904 0.904 0.288
0.096 0.096 0.712
0.000 0.000 0.000
```

Calculated values
Its density of states at the Fermi level is 2.4 states/eV per cell. As for the formation energy: 0.118 eV/atom. The volume is 17.52 Å³/atom.

=====

Crystalline NbGeIr at its relaxed geometry. Source: Alexandria via LeMat-Bulk, functional PBE.

```
NbGeIr
1.0
4.330 0.001 -0.003
2.089 3.956 0.002
1.475 1.534 6.202
Ir Ge Nb
2 2 2
direct
0.394 0.840 0.335
0.762 0.799 0.933
0.388 0.607 0.740
0.072 0.513 0.279
0.080 0.148 0.954
0.679 0.106 0.508
```

Calculated values
Its density of states at the Fermi level is 3.2 states/eV per cell. As for the formation energy: -0.303 eV/atom. The volume is 17.70 Å³/atom.

=====

Crystalline NbGe2Ir at its relaxed geometry. Source: Alexandria via LeMat-Bulk, functional PBE.

```
NbGe2Ir
1.0
-2.053 1.035 3.825
0.486 4.071 1.763
-3.427 2.859 -0.009
Nb Ge Ir
1 2 1
direct
0.000 0.000 0.000
0.750 0.750 0.750
0.250 0.250 0.250
0.500 0.500 0.500
```

Calculated values
Its density of states at the Fermi level is 4.5 states/eV per cell. As for the formation energy: -0.076 eV/atom. The volume is 15.71 Å³/atom.

=====

Crystalline Nb2GeIr2 at its relaxed geometry. Source: Alexandria via LeMat-Bulk, functional PBE.

```
Nb2GeIr2
1.0
7.715 0.000 0.000
0.000 7.715 0.000
0.000 0.000 2.920
Ge Ir Nb
2 4 4
direct
0.000 0.000 0.000
0.500 0.500 0.000
0.370 0.870 0.000
0.870 0.630 0.000
0.130 0.370 0.000
0.630 0.130 0.000
0.663 0.837 0.500
0.337 0.163 0.500
0.837 0.337 0.500
0.163 0.663 0.500
```

Calculated values
Its density of states at the Fermi level is 5.1 states/eV per cell. As for the formation energy: -0.301 eV/atom. The volume is 17.38 Å³/atom.

=====

Crystalline Nb2Ge2Ir at its relaxed geometry. Source: Alexandria via LeMat-Bulk, functional PBE.

```
Nb2Ge2Ir
1.0
6.300 0.000 0.000
0.000 6.300 0.000
0.000 0.000 4.153
Nb Ge Ir
4 4 2
direct
0.662 0.838 0.500
0.162 0.662 0.500
0.838 0.338 0.500
0.338 0.162 0.500
0.861 0.639 0.000
0.139 0.361 0.000
0.361 0.861 0.000
0.639 0.139 0.000
0.500 0.500 0.000
0.000 0.000 0.000
```

Calculated values
Its density of states at the Fermi level is 12.4 states/eV per cell. As for the formation energy: -0.345 eV/atom. The volume is 16.49 Å³/atom.

=====

Crystalline NbGeIr at its relaxed geometry. Source: Alexandria via LeMat-Bulk, functional PBE.

```
NbGeIr
1.0
2.904 0.000 0.000
0.000 4.340 0.000
0.000 -2.170 3.758
Ge Ir Nb
1 1 1
direct
0.167 0.667 0.333
0.166 0.000 0.000
0.667 0.333 0.667
```

Calculated values
Its density of states at the Fermi level is 0.9 states/eV per cell. As for the formation energy: -0.543 eV/atom. The volume is 15.79 Å³/atom.

=====

Crystalline NbGeIr2 at its relaxed geometry. Source: Alexandria via LeMat-Bulk, functional PBE.

```
NbGeIr2
1.0
1.087 -3.630 2.411
-2.080 -0.813 3.896
-2.888 -3.423 0.332
Ir Nb Ge
2 1 1
direct
0.750 0.750 0.750
0.250 0.250 0.250
0.500 0.500 0.500
0.000 0.000 0.000
```

Calculated values
Its density of states at the Fermi level is 6.5 states/eV per cell. As for the formation energy: -0.049 eV/atom. The volume is 16.01 Å³/atom.

=====

Crystalline NbGe2Ir2 at its relaxed geometry. Source: Alexandria via LeMat-Bulk, functional PBE.

```
NbGe2Ir2
1.0
-2.415 -2.492 -6.512
5.688 -4.690 -0.315
-1.559 -1.979 1.335
Ir Ge Nb
4 4 2
direct
0.849 0.349 0.500
0.349 0.151 0.500
0.651 0.849 0.500
0.151 0.651 0.500
0.148 0.352 0.000
0.648 0.148 0.000
0.352 0.852 0.000
0.852 0.648 0.000
0.000 0.000 0.000
0.500 0.500 0.000
```

Calculated values
Its density of states at the Fermi level is 7.6 states/eV per cell. As for the formation energy: -0.182 eV/atom. The volume is 15.53 Å³/atom.

=====

Crystalline NbGeIr at its relaxed geometry. Source: Alexandria via LeMat-Bulk, functional PBE.

```
NbGeIr
1.0
2.964 0.000 0.000
0.000 2.964 0.000
0.000 0.000 10.713
Ir Nb Ge
2 2 2
direct
0.500 0.500 0.805
0.000 0.000 0.305
0.500 0.500 0.486
0.000 0.000 0.986
0.000 0.000 0.659
0.500 0.500 0.159
```

Calculated values
Its density of states at the Fermi level is 1.5 states/eV per cell. As for the formation energy: -0.363 eV/atom. The volume is 15.68 Å³/atom.

=====

Crystalline NbGeIr at its relaxed geometry. Source: Alexandria via LeMat-Bulk, functional PBE.

```
NbGeIr
1.0
3.929 0.000 0.000
0.000 6.515 0.000
0.000 0.000 7.473
Ir Nb Ge
4 4 4
direct
0.250 0.856 0.938
0.750 0.144 0.062
0.750 0.644 0.438
0.250 0.356 0.562
0.750 0.026 0.679
0.250 0.474 0.179
0.750 0.526 0.821
0.250 0.974 0.321
0.750 0.259 0.377
0.250 0.741 0.623
0.250 0.241 0.877
0.750 0.759 0.123
```

Calculated values
Its density of states at the Fermi level is 2.3 states/eV per cell. As for the formation energy: -0.534 eV/atom. The volume is 15.94 Å³/atom.

=====

Crystalline NbGe3Ir at its relaxed geometry. Source: Alexandria via LeMat-Bulk, functional PBE.

```
NbGe3Ir
1.0
4.779 0.000 0.000
0.000 4.779 0.000
0.000 0.000 4.779
Ge Nb Ir
3 1 1
direct
0.000 0.000 0.500
0.000 0.500 0.000
0.500 0.000 0.000
0.500 0.500 0.500
0.000 0.000 0.000
```

Calculated values
Its density of states at the Fermi level is 7.1 states/eV per cell. As for the formation energy: 0.844 eV/atom. The volume is 21.83 Å³/atom.

=====

Crystalline NbGeIr at its relaxed geometry. Source: Alexandria via LeMat-Bulk, functional PBE.

```
NbGeIr
1.0
5.587 0.000 0.001
0.000 3.997 0.000
-3.464 0.000 8.641
Ge Ir Nb
4 4 4
direct
0.593 0.000 0.270
0.830 0.500 0.111
0.830 0.000 0.611
0.593 0.500 0.770
0.453 0.000 0.946
0.137 0.000 0.277
0.137 0.500 0.777
0.453 0.500 0.446
0.318 0.500 0.101
0.920 0.500 0.421
0.920 0.000 0.921
0.318 0.000 0.601
```

Calculated values
Its density of states at the Fermi level is 6.3 states/eV per cell. As for the formation energy: -0.306 eV/atom. The volume is 16.08 Å³/atom.

=====

Crystalline NbGeIr2 at its relaxed geometry. Source: Alexandria via LeMat-Bulk, functional PBE.

```
NbGeIr2
1.0
-0.220 4.698 3.096
-4.803 -1.770 2.345
0.462 -1.123 6.857
Ge Nb Ir
2 2 4
direct
0.500 0.500 0.000
0.250 0.750 0.500
0.750 0.250 0.500
0.000 0.000 0.000
0.375 0.390 0.750
0.610 0.125 0.250
0.140 0.625 0.250
0.875 0.860 0.750
```

Calculated values
Its density of states at the Fermi level is 5.4 states/eV per cell. As for the formation energy: 0.262 eV/atom. The volume is 22.64 Å³/atom.